VASP calculation (PBE-GGA) on an optimized crystal structure of Tm6SnAs2Se3.

Results
Total moment ... 0.00 μB per formula unit
Crystal system ... monoclinic
Electronic total energy ... -68.31 eV/cell
V ... 24.40 Å³ per atom
Raw formation energy ... -1477.3 meV per atom

POSCAR file:
```
Tm6SnAs2Se3
1.0
8.9316 -2.0481 0.0000
8.9316 2.0481 0.0000
-1.8495 0.0000 8.0021
Tm Sn As Se
6 1 2 3
Cartesian
-0.4187 0.0000 2.0572
5.0979 0.0000 3.3860
4.2410 0.0000 7.2433
11.7728 0.0000 0.7588
10.9159 0.0000 4.6161
16.4325 0.0000 5.9450
8.9316 0.0000 0.0000
2.3703 0.0000 2.6869
13.6435 0.0000 5.3152
1.4348 0.0000 6.6574
8.0069 0.0000 4.0011
14.5790 0.0000 1.3447
```

***

VASP calculation (PBE-GGA) on an optimized crystal structure of ZrBe2Au.

Results
Total moment ... 0.00 μB per formula unit
E_form ... -0.13 eV per atom
Crystal system ... tetragonal
Electronic total energy ... -19.79 eV/cell
V ... 14.19 Å³ per atom
Excess energy over the best structure of this formula in the dataset ... 226.1 meV per atom

POSCAR file:
```
ZrBe2Au
1.0
2.9172 0.0000 0.0000
0.0000 2.9172 0.0000
0.0000 0.0000 6.6678
Zr Be Au
1 2 1
Cartesian
0.0000 0.0000 0.0000
0.0000 0.0000 3.7976
1.4586 1.4586 4.8356
1.4586 1.4586 2.2981
```

***

VASP calculation (PBE-GGA) on an optimized crystal structure of CuTcCl2.

Results
Total moment ... 4.14 μB per formula unit
Crystal system ... cubic
Electronic total energy ... -60.11 eV/cell
V ... 18.27 Å³ per atom
Raw formation energy ... 781.7 meV per atom
Excess energy over the best structure of this formula in the dataset ... 786.4 meV per atom

POSCAR file:
```
CuTcCl2
1.0
6.6371 0.0000 0.0000
0.0000 6.6371 0.0000
0.0000 0.0000 6.6371
Cu Tc Cl
4 4 8
Cartesian
0.0000 0.0000 0.0000
0.0000 3.3186 3.3186
3.3186 0.0000 3.3186
3.3186 3.3186 0.0000
1.6593 1.6593 4.9779
1.6593 4.9779 1.6593
4.9779 1.6593 1.6593
4.9779 4.9779 4.9779
0.0000 0.0000 3.3186
0.0000 3.3186 0.0000
1.6593 1.6593 1.6593
1.6593 4.9779 4.9779
3.3186 0.0000 0.0000
3.3186 3.3186 3.3186
4.9779 1.6593 4.9779
4.9779 4.9779 1.6593
```

***

VASP calculation (PBE-GGA) on an optimized crystal structure of SnRhO2F.

Results
Total moment ... 2.13 μB per formula unit
Crystal system ... tetragonal
Electronic total energy ... -26.21 eV/cell
V ... 13.83 Å³ per atom
Raw formation energy ... -613.9 meV per atom

POSCAR file:
```
SnRhO2F
1.0
4.0775 0.0000 0.0000
0.0000 4.0775 0.0000
0.0000 0.0000 4.1600
Sn Rh O F
1 1 2 1
Cartesian
0.0000 0.0000 0.0000
2.0388 2.0388 2.0800
0.0000 2.0388 0.0000
2.0388 0.0000 0.0000
0.0000 0.0000 2.0800
```

***

VASP calculation (PBE-GGA) on an optimized crystal structure of V2Fe2W.

Results
Total moment ... 0.00 μB per formula unit
E_form ... 0.10 eV per atom
Crystal system ... tetragonal
Electronic total energy ... -95.23 eV/cell
V ... 12.77 Å³ per atom
Excess energy over the best structure of this formula in the dataset ... 19.2 meV per atom

POSCAR file:
```
V2Fe2W
1.0
6.8873 0.0000 0.0000
0.0000 6.8873 0.0000
0.0000 0.0000 2.6913
V Fe W
4 4 2
Cartesian
1.0350 2.4087 0.0000
2.4087 5.8523 0.0000
4.4786 1.0350 0.0000
5.8523 4.4786 0.0000
1.0257 4.4694 1.3456
2.4179 1.0257 1.3456
4.4694 5.8616 1.3456
5.8616 2.4179 1.3456
0.0000 0.0000 0.0000
3.4436 3.4436 0.0000
```

***

VASP calculation (PBE-GGA) on an optimized crystal structure of GdCdSn.

Results
Total moment ... 6.99 μB per formula unit
E_form ... -0.30 eV per atom
Crystal system ... cubic
Electronic total energy ... -79.61 eV/cell
V ... 28.23 Å³ per atom

POSCAR file:
```
GdCdSn
1.0
6.9709 0.0000 0.0000
0.0000 6.9709 0.0000
0.0000 0.0000 6.9709
Gd Cd Sn
4 4 4
Cartesian
0.0000 0.0000 0.0000
0.0000 3.4854 3.4854
3.4854 0.0000 3.4854
3.4854 3.4854 0.0000
1.7427 1.7427 5.2282
1.7427 5.2282 1.7427
5.2282 1.7427 1.7427
5.2282 5.2282 5.2282
0.0000 0.0000 3.4854
0.0000 3.4854 0.0000
3.4854 0.0000 0.0000
3.4854 3.4854 3.4854
```

***

VASP calculation (PBE-GGA) on an optimized crystal structure of Li2PdS2.

Results
Total moment ... 0.00 μB per formula unit
Crystal system ... tetragonal
Electronic total energy ... -39.35 eV/cell
V ... 18.24 Å³ per atom
Raw formation energy ... -479.4 meV per atom
Excess energy over the best structure of this formula in the dataset ... 293.3 meV per atom

POSCAR file:
```
Li2PdS2
1.0
4.8954 0.0000 0.0000
0.0000 4.8954 0.0000
0.0000 0.0000 7.6104
Li Pd S
4 2 4
Cartesian
0.0000 2.4477 1.9026
0.0000 2.4477 5.7078
2.4477 0.0000 1.9026
2.4477 0.0000 5.7078
0.0000 0.0000 0.0000
2.4477 2.4477 3.8052
0.0000 0.0000 2.2711
0.0000 0.0000 5.3393
2.4477 2.4477 1.5341
2.4477 2.4477 6.0762
```

***

VASP calculation (PBE-GGA) on an optimized crystal structure of Tm6AgSb3.

Results
Total moment ... 0.00 μB per formula unit
Crystal system ... orthorhombic
Electronic total energy ... -97.98 eV/cell
V ... 26.68 Å³ per atom
Raw formation energy ... -694.4 meV per atom

POSCAR file:
```
Tm6AgSb3
1.0
5.7728 -5.5912 0.0000
5.7728 5.5912 0.0000
0.0000 0.0000 8.2661
Tm Ag Sb
12 2 6
Cartesian
2.9245 2.7841 6.1996
5.7728 3.7568 4.1669
5.7728 3.7568 8.2323
3.9278 0.0000 0.0000
3.9278 0.0000 4.1331
8.6211 2.7841 6.1996
2.9245 -2.7841 2.0665
7.6178 0.0000 0.0000
7.6178 0.0000 4.1331
5.7728 -3.7568 0.0338
5.7728 -3.7568 4.0992
8.6211 -2.7841 2.0665
5.7728 1.5545 6.1996
5.7728 -1.5545 2.0665
1.6523 0.0092 6.1996
1.6523 -0.0092 2.0665
5.7728 1.5075 2.0665
5.7728 -1.5075 6.1996
9.8934 0.0092 6.1996
9.8934 -0.0092 2.0665
```